First-principles (PBE with a Hubbard U) data for a relaxed TlV2F crystal, as listed in the Alexandria database.

The structure in POSCAR format:
```
TlV2F
1.0
0.0000 3.3235 3.3235
3.3235 0.0000 3.3235
3.3235 3.3235 0.0000
Tl V F
1 2 1
Cartesian
0.0000 0.0000 0.0000
1.6618 1.6618 1.6618
4.9853 4.9853 4.9853
3.3235 3.3235 3.3235
```

## Properties
Magnetization = 1.36 μB/atom
Mass density = 7.356 g/cm³
Excess energy over the best structure of this formula in the dataset = 0.464 eV/atom
V = 73.4 Å³/cell